No. 1
The following is a PBE calculation of an optimized crystal structure of Cd3Ag8, from the Alexandria database.

* electronic total energy: -22.9 eV per formula unit
* D(E_F): 2.86 states/eV/f.u.
* offset from the most stable computed form: 0.2767 eV/atom

POSCAR file:
```
Cd3Ag8
1.0
-1.710 -2.628 5.458
2.981 -5.104 -2.165
5.181 2.738 2.299
Cd Ag
3 8
Cartesian
1.735 0.055 3.879
4.081 -1.183 0.067
0.635 -3.866 1.646
-0.282 -3.846 4.665
4.598 1.368 3.691
4.285 -4.179 -0.901
2.309 -1.787 2.001
4.143 -3.206 3.591
2.167 -0.815 6.493
1.854 -6.361 1.901
6.734 -1.148 0.927
```



No. 2
The following is a PBE calculation of an optimized crystal structure of ThTiReGe2, from the Alexandria database.

* electronic total energy: -39.7 eV per formula unit
* D(E_F): 2.83 states/eV/f.u.

POSCAR file:
```
ThTiReGe2
1.0
4.102 0.000 0.000
0.000 4.102 0.000
-2.051 -2.051 5.712
Th Ti Re Ge
1 1 1 2
Cartesian
0.000 0.000 0.000
0.000 2.051 2.856
2.051 0.000 2.856
2.051 2.051 1.298
0.000 0.000 4.414
```



No. 3
The following is a PBE calculation of an optimized crystal structure of Sr2TlPd6Pb, from the Alexandria database.

* electronic total energy: -40.5 eV per formula unit
* D(E_F): 5.35 states/eV/f.u.

POSCAR file:
```
Sr2TlPd6Pb
1.0
7.260 0.000 0.000
0.000 7.260 0.000
3.630 3.630 5.133
Sr Tl Pd Pb
2 1 6 1
Cartesian
3.630 7.259 2.567
7.260 3.629 2.567
3.630 3.630 0.000
1.814 5.446 0.000
5.446 5.446 0.000
3.630 3.630 2.569
5.446 1.813 0.000
1.814 1.813 0.000
7.260 7.259 2.565
0.000 0.000 0.000
```



No. 4
The following is a PBE calculation of an optimized crystal structure of NaLiI2N, from the Alexandria database.

* electronic total energy: -13.2 eV per formula unit
* formation energy (no corrections): 1.5 eV per formula unit
* D(E_F): 0.62 states/eV/f.u.
* offset from the most stable computed form: 0.2021 eV/atom

POSCAR file:
```
NaLiI2N
1.0
-5.544 -0.341 -2.315
0.184 -5.999 0.444
-1.817 0.263 4.312
I Na Li N
2 1 1 1
Cartesian
0.092 -2.999 0.222
-2.772 -0.170 -1.157
0.000 0.000 0.000
-3.589 -3.038 1.221
-0.908 0.132 2.156
```



No. 5
The following is a PBE calculation of an optimized crystal structure of Li3B8C8, from the Alexandria database.

* electronic total energy: -132.8 eV per formula unit
* D(E_F): 2.10 states/eV/f.u.
* offset from the most stable computed form: 0.0000 eV/atom

POSCAR file:
```
Li3B8C8
1.0
6.818 -0.055 -2.892
6.294 2.622 -2.892
-0.799 -0.156 9.105
C B Li
8 8 3
Cartesian
11.088 2.171 -2.612
7.692 1.506 5.297
10.578 2.071 1.960
7.981 1.562 0.764
3.130 0.613 7.086
2.028 0.397 5.956
4.774 0.935 2.628
1.183 0.232 1.309
7.878 1.542 -2.370
10.535 2.062 -4.069
8.534 1.671 2.221
11.191 2.191 0.522
1.469 0.288 7.536
3.689 0.722 5.506
1.281 0.251 2.882
4.676 0.915 1.055
6.072 1.189 -0.885
-0.115 -0.023 4.822
9.535 1.867 -0.924
```



No. 6
The following is a PBE calculation of an optimized crystal structure of Fe3AsBr, from the Alexandria database.

* electronic total energy: -28.0 eV per formula unit
* formation energy (no corrections): 3.8 eV per formula unit
* D(E_F): 6.16 states/eV/f.u.
* offset from the most stable computed form: 0.0000 eV/atom

POSCAR file:
```
Fe3AsBr
1.0
4.675 0.000 0.000
0.000 4.675 0.000
0.000 0.000 4.675
As Fe Br
1 3 1
Cartesian
0.000 0.000 0.000
0.000 2.337 0.000
0.000 0.000 2.337
2.337 0.000 0.000
2.337 2.337 2.337
```